# 1
{"formula": "Cs2Bi3Pb6", "functional": "GGA-PBE", "state": "optimized geometry", "vol_a3_per_atom": 40.262, "n_ef_per_ev_cell": 3.96, "formation_energy_kcal_per_mol_atoms": -2.7, "total_magnetization_mub_per_cell": 0.0, "sg": "P-62m", "cell": [[9.835, 0.000, 0.000], [-4.918, 8.518, 0.000], [0.000, 0.000, 5.287]], "species": ["Cs", "Cs", "Bi", "Bi", "Bi", "Pb", "Pb", "Pb", "Pb", "Pb", "Pb"], "fractional_positions": [[0.333, 0.667, 0.000], [0.667, 0.333, 0.000], [0.000, 0.392, 0.500], [0.392, 0.000, 0.500], [0.608, 0.608, 0.500], [0.000, 0.197, 0.000], [0.000, 0.724, 0.500], [0.197, 0.000, 0.000], [0.276, 0.276, 0.500], [0.724, 0.000, 0.500], [0.803, 0.803, 0.000]]}


# 2
{"formula": "CsBiPb3", "functional": "GGA-PBE", "state": "optimized geometry", "vol_a3_per_atom": 48.712, "n_ef_per_ev_cell": 5.70, "formation_energy_kcal_per_mol_atoms": 28.6, "total_magnetization_mub_per_cell": 0.0, "sg": "Pm-3m", "e_above_lowest_polymorph_mev_per_atom": 1409.3, "cell": [[6.245, 0.000, 0.000], [0.000, 6.245, 0.000], [0.000, 0.000, 6.245]], "species": ["Cs", "Bi", "Pb", "Pb", "Pb"], "fractional_positions": [[0.000, 0.000, 0.000], [0.500, 0.500, 0.500], [0.000, 0.000, 0.500], [0.000, 0.500, 0.000], [0.500, 0.000, 0.000]]}


# 3
{"formula": "CsBiPdPb", "functional": "GGA-PBE", "state": "optimized geometry", "vol_a3_per_atom": 40.467, "n_ef_per_ev_cell": 1.57, "formation_energy_kcal_per_mol_atoms": -5.9, "total_magnetization_mub_per_cell": 0.0, "sg": "Cm", "cell": [[4.067, -2.350, 0.000], [4.067, 2.350, 0.000], [-0.037, 0.000, 8.469]], "species": ["Cs", "Bi", "Pd", "Pb"], "fractional_positions": [[0.000, 0.000, 0.000], [0.668, 0.668, 0.312], [0.335, 0.335, 0.403], [0.002, 0.002, 0.540]]}


# 4
{"formula": "Cs2Bi2PtPb", "functional": "GGA-PBE", "state": "optimized geometry", "vol_a3_per_atom": 41.543, "n_ef_per_ev_cell": 5.76, "formation_energy_kcal_per_mol_atoms": -5.9, "total_magnetization_mub_per_cell": 0.0, "sg": "Ibam", "cell": [[-3.787, 8.545, 3.851], [3.787, -8.545, 3.851], [3.787, 8.545, -3.851]], "species": ["Cs", "Cs", "Cs", "Cs", "Bi", "Bi", "Bi", "Bi", "Pt", "Pt", "Pb", "Pb"], "fractional_positions": [[0.167, 0.237, 0.405], [0.333, 0.737, 0.070], [0.667, 0.263, 0.930], [0.833, 0.763, 0.595], [0.079, 0.698, 0.777], [0.421, 0.198, 0.620], [0.579, 0.802, 0.380], [0.921, 0.302, 0.223], [0.250, 0.750, 0.500], [0.750, 0.250, 0.500], [0.250, 0.250, 0.000], [0.750, 0.750, 0.000]]}


# 5
{"formula": "CsBiPtPb", "functional": "GGA-PBE", "state": "optimized geometry", "vol_a3_per_atom": 35.637, "n_ef_per_ev_cell": 0.94, "formation_energy_kcal_per_mol_atoms": -7.5, "total_magnetization_mub_per_cell": 0.0, "sg": "Cm", "cell": [[4.023, -2.321, 0.000], [4.023, 2.321, 0.000], [-2.671, 0.000, 7.632]], "species": ["Cs", "Bi", "Pt", "Pb"], "fractional_positions": [[0.000, 0.000, 0.000], [0.211, 0.211, 0.635], [0.506, 0.506, 0.517], [0.790, 0.790, 0.369]]}


# 6
{"formula": "CsRb2Bi2Pb2", "functional": "GGA-PBE", "state": "optimized geometry", "vol_a3_per_atom": 46.771, "n_ef_per_ev_cell": 2.60, "formation_energy_kcal_per_mol_atoms": -4.7, "total_magnetization_mub_per_cell": 0.0, "sg": "C2/m", "cell": [[6.367, -2.405, 0.000], [6.367, 2.405, 0.000], [-3.304, 0.000, 10.689]], "species": ["Cs", "Rb", "Rb", "Bi", "Bi", "Pb", "Pb"], "fractional_positions": [[0.000, 0.000, 0.000], [0.119, 0.119, 0.409], [0.881, 0.881, 0.591], [0.256, 0.256, 0.779], [0.744, 0.744, 0.221], [0.398, 0.398, 0.286], [0.602, 0.602, 0.714]]}